Entry 1:
KMnF3 | SCAN | PBEsol geometry

a = 4.178 Å, b = 4.178 Å, c = 4.178 Å
α = 90.00°, β = 90.00°, γ = 90.00°
Element x y z (fractional)
K  0.000  0.000  0.000
Mn  0.500  0.500  0.500
F  0.000  0.500  0.500
F  0.500  0.000  0.500
F  0.500  0.500  0.000

Summary:
E_form (uncorrected), meV per atom: -2981
M_tot, μB per atom: 1.00

***

Entry 2:
ZnCu | SCAN | PBEsol geometry

a = 2.680 Å, b = 2.680 Å, c = 3.422 Å
α = 90.00°, β = 90.00°, γ = 90.00°
Element x y z (fractional)
Zn  0.000  0.000  0.000
Cu  0.500  0.500  0.500

Summary:
DFT formation energy, kJ/mol of atoms: -9.3
M_tot, μB per atom: 0.00

***

Entry 3:
OsC2 | SCAN | PBEsol geometry

a = 3.860 Å, b = 3.860 Å, c = 3.860 Å
α = 137.83°, β = 137.83°, γ = 61.17°
Element x y z (fractional)
Os  0.000  0.000  0.000
C  0.327  0.327  0.000
C  0.673  0.673  0.000

Summary:
Offset from the most stable computed form, eV/atom: 1.2031
DFT formation energy, kJ/mol of atoms: 208.5
M_tot, μB per atom: 0.00

***

Entry 4:
KTaCl2 | SCAN | PBEsol geometry

a = 6.011 Å, b = 6.011 Å, c = 6.097 Å
α = 109.26°, β = 109.26°, γ = 29.94°
Element x y z (fractional)
K  0.000  0.000  0.000
Ta  0.751  0.751  0.466
Cl  0.135  0.135  0.620
Cl  0.333  0.333  0.246

Summary:
Offset from the most stable computed form, eV/atom: 0.0000
E_form (uncorrected), meV per atom: -441
M_tot, μB per atom: 0.16

***

Entry 5:
AsPt3Pb | SCAN | PBEsol geometry

a = 4.952 Å, b = 4.952 Å, c = 4.952 Å
α = 90.00°, β = 90.00°, γ = 90.00°
Element x y z (fractional)
As  0.000  0.000  0.000
Pt  0.000  0.500  0.500
Pt  0.500  0.000  0.500
Pt  0.500  0.500  0.000
Pb  0.500  0.500  0.500

Summary:
DFT formation energy, kJ/mol of atoms: 143.7
M_tot, μB per atom: 0.00

***

Entry 6:
Ba2AgHg | SCAN | PBEsol geometry

a = 5.094 Å, b = 6.521 Å, c = 6.521 Å
α = 40.67°, β = 90.00°, γ = 90.00°
Element x y z (fractional)
Ba  0.000  0.000  0.000
Ba  0.500  0.279  0.279
Ag  0.000  0.707  0.707
Hg  0.500  0.570  0.570

Summary:
DFT formation energy, kJ/mol of atoms: -43.5
M_tot, μB per atom: 0.00

***

Repeat the first record exactly.
KMnF3 | SCAN | PBEsol geometry

a = 4.178 Å, b = 4.178 Å, c = 4.178 Å
α = 90.00°, β = 90.00°, γ = 90.00°
Element x y z (fractional)
K  0.000  0.000  0.000
Mn  0.500  0.500  0.500
F  0.000  0.500  0.500
F  0.500  0.000  0.500
F  0.500  0.500  0.000

Summary:
E_form (uncorrected), meV per atom: -2981
M_tot, μB per atom: 1.00

***

> The highest M_tot belongs to which entry?

KMnF3

***

> Which value of M_tot does entry 4 give?

0.16 μB per atom

***

Copy entry 4 word for word.
KTaCl2 | SCAN | PBEsol geometry

a = 6.011 Å, b = 6.011 Å, c = 6.097 Å
α = 109.26°, β = 109.26°, γ = 29.94°
Element x y z (fractional)
K  0.000  0.000  0.000
Ta  0.751  0.751  0.466
Cl  0.135  0.135  0.620
Cl  0.333  0.333  0.246

Summary:
Offset from the most stable computed form, eV/atom: 0.0000
E_form (uncorrected), meV per atom: -441
M_tot, μB per atom: 0.16